A geometry-optimized Mg3Ag structure. Source: Alexandria, functional GGA-PBE.

a b c (Å): 5.2299 5.2299 5.2299
angles (deg): 90.00 90.00 90.00
Positions (direct):
Mg (0.0000, 0.0000, 0.5000)
Mg (0.0000, 0.5000, 0.0000)
Mg (0.5000, 0.0000, 0.0000)
Ag (0.0000, 0.0000, 0.0000)

Summary:
E in eV per atom: -1.64
ΔH_f (0 K) in meV per atom: 265
Magnetization in μB per formula unit: 0.00

=====

A geometry-optimized Mg3Ag structure. Source: Alexandria, functional GGA-PBE.

a b c (Å): 8.1830 8.1830 8.7199
angles (deg): 90.00 90.00 120.00
Positions (direct):
Mg (0.0000, 0.0000, 0.0921)
Mg (0.0000, 0.0000, 0.5921)
Mg (0.0000, 0.2795, 0.3396)
Mg (0.0000, 0.3746, 0.0000)
Mg (0.0000, 0.6254, 0.5000)
Mg (0.0000, 0.7205, 0.8396)
Mg (0.2795, 0.0000, 0.3396)
Mg (0.2795, 0.2795, 0.8396)
Mg (0.3333, 0.6667, 0.2260)
Mg (0.3333, 0.6667, 0.7260)
Mg (0.3746, 0.0000, 0.0000)
Mg (0.3746, 0.3746, 0.5000)
Mg (0.6254, 0.0000, 0.5000)
Mg (0.6254, 0.6254, 0.0000)
Mg (0.6667, 0.3333, 0.2260)
Mg (0.6667, 0.3333, 0.7260)
Mg (0.7205, 0.0000, 0.8396)
Mg (0.7205, 0.7205, 0.3396)
Ag (0.0000, 0.3287, 0.6691)
Ag (0.0000, 0.6713, 0.1691)
Ag (0.3287, 0.0000, 0.6691)
Ag (0.3287, 0.3287, 0.1691)
Ag (0.6713, 0.0000, 0.1691)
Ag (0.6713, 0.6713, 0.6691)

Summary:
E in eV per atom: -2.05
ΔH_f (0 K) in meV per atom: -142
Magnetization in μB per formula unit: 0.00

=====

A geometry-optimized Mg6Ag5 structure. Source: Alexandria, functional GGA-PBE.

a b c (Å): 8.0625 8.0625 8.0625
angles (deg): 146.54 130.79 60.83
Positions (direct):
Mg (0.0803, 0.3383, 0.7421)
Mg (0.2368, 0.0000, 0.2368)
Mg (0.4038, 0.6617, 0.7421)
Mg (0.5962, 0.3383, 0.2579)
Mg (0.7632, 0.0000, 0.7632)
Mg (0.9197, 0.6617, 0.2579)
Ag (0.1721, 0.1721, 0.0000)
Ag (0.3338, 0.8338, 0.5000)
Ag (0.5000, 0.5000, 0.0000)
Ag (0.6662, 0.1662, 0.5000)
Ag (0.8279, 0.8279, 0.0000)

Summary:
E in eV per atom: -2.36
ΔH_f (0 K) in meV per atom: -194
Magnetization in μB per formula unit: 0.00

=====

A geometry-optimized MgAg7 structure. Source: Alexandria, functional GGA-PBE.

a b c (Å): 5.8783 5.8783 5.8783
angles (deg): 60.00 60.00 60.00
Positions (direct):
Mg (0.0000, 0.0000, 0.0000)
Ag (0.0000, 0.0000, 0.5000)
Ag (0.0000, 0.5000, 0.0000)
Ag (0.0000, 0.5000, 0.5000)
Ag (0.5000, 0.0000, 0.0000)
Ag (0.5000, 0.0000, 0.5000)
Ag (0.5000, 0.5000, 0.0000)
Ag (0.5000, 0.5000, 0.5000)

Summary:
E in eV per atom: -2.76
ΔH_f (0 K) in meV per atom: -67
Magnetization in μB per formula unit: 0.00

=====

A geometry-optimized Mg3Ag structure. Source: Alexandria, functional GGA-PBE.

a b c (Å): 4.3279 4.3279 4.3279
angles (deg): 90.00 90.00 90.00
Positions (direct):
Mg (0.0000, 0.0000, 0.5000)
Mg (0.0000, 0.5000, 0.0000)
Mg (0.5000, 0.0000, 0.0000)
Ag (0.5000, 0.5000, 0.5000)

Summary:
E in eV per atom: -2.01
ΔH_f (0 K) in meV per atom: -103
Magnetization in μB per formula unit: 0.00

=====

A geometry-optimized Mg3Ag structure. Source: Alexandria, functional GGA-PBE.

a b c (Å): 5.7338 5.7338 5.7338
angles (deg): 145.22 129.83 62.49
Positions (direct):
Mg (0.0000, 0.0000, 0.0000)
Mg (0.2702, 0.7702, 0.5000)
Mg (0.7298, 0.2298, 0.5000)
Ag (0.5000, 0.5000, 0.0000)

Summary:
E in eV per atom: -2.02
ΔH_f (0 K) in meV per atom: -106
Magnetization in μB per formula unit: 0.00

=====

A geometry-optimized MgAg5 structure. Source: Alexandria, functional GGA-PBE.

a b c (Å): 4.7700 7.6778 7.6778
angles (deg): 22.67 90.00 90.00
Positions (direct):
Mg (0.0000, 0.0000, 0.0000)
Ag (0.0000, 0.3350, 0.3350)
Ag (0.0000, 0.6662, 0.6662)
Ag (0.5000, 0.1146, 0.1146)
Ag (0.5000, 0.4486, 0.4486)
Ag (0.5000, 0.7821, 0.7821)

Summary:
E in eV per atom: -2.70
ΔH_f (0 K) in meV per atom: -60
Magnetization in μB per formula unit: 0.00

=====

A geometry-optimized Mg5Ag3 structure. Source: Alexandria, functional GGA-PBE.

a b c (Å): 7.6893 7.6612 4.7294
angles (deg): 72.38 71.73 35.89
Positions (direct):
Mg (0.0000, 0.0000, 0.0000)
Mg (0.1317, 0.1317, 0.3683)
Mg (0.3683, 0.3683, 0.1317)
Mg (0.6317, 0.6317, 0.8683)
Mg (0.8683, 0.8683, 0.6317)
Ag (0.2455, 0.2455, 0.7545)
Ag (0.5000, 0.5000, 0.5000)
Ag (0.7545, 0.7545, 0.2455)

Summary:
E in eV per atom: -2.24
ΔH_f (0 K) in meV per atom: -175
E above lowest polymorph in kJ per mole of atoms: 0.31
Magnetization in μB per formula unit: 0.00